No. 1
# Te2PbSe, relaxed, DFT PBE-GGA
data_Te2PbSe
_chemical_formula_sum 'Te4 Pb2 Se2'
_symmetry_space_group_name_H-M 'I m m 2'
_symmetry_Int_Tables_number 44
_cell_length_a 4.198
_cell_length_b 6.446
_cell_length_c 11.240
_cell_angle_alpha 90.00
_cell_angle_beta 90.00
_cell_angle_gamma 90.00
loop_
_symmetry_equiv_pos_as_xyz
'x,y,z'
'-x,-y,z'
'-x,y,z'
'x,-y,z'
'x+1/2,y+1/2,z+1/2'
'-x+1/2,-y+1/2,z+1/2'
'-x+1/2,y+1/2,z+1/2'
'x+1/2,-y+1/2,z+1/2'
loop_
_atom_site_label
_atom_site_fract_x
_atom_site_fract_y
_atom_site_fract_z
Te1 0.000 0.000 0.000
Te2 0.000 0.500 0.322
Pb1 0.000 0.500 0.957
Se1 0.000 0.000 0.627
# * ΔE_f (raw): -0.1039 eV per atom
# * V: 38.0 Å³ per atom
# * raw total energy: -3.47 eV/atom


No. 2
# AlCdW2, relaxed, DFT PBE-GGA
data_AlCdW2
_chemical_formula_sum 'Al1 Cd1 W2'
_symmetry_space_group_name_H-M 'P 1 m 1'
_symmetry_Int_Tables_number 6
_cell_length_a 2.794
_cell_length_b 4.543
_cell_length_c 5.340
_cell_angle_alpha 90.00
_cell_angle_beta 97.44
_cell_angle_gamma 90.00
loop_
_symmetry_equiv_pos_as_xyz
'x,y,z'
'x,-y,z'
loop_
_atom_site_label
_atom_site_fract_x
_atom_site_fract_y
_atom_site_fract_z
Al1 0.000 0.000 0.000
Cd1 0.910 0.500 0.264
W1 0.344 0.500 0.766
W2 0.522 0.000 0.530
# * V: 16.8 Å³ per atom
# * offset from the most stable computed form: 0.045 eV/atom
# * ΔE_f: 295 meV/atom
# * raw total energy: -7.35 eV/atom


No. 3
# Y2TmNb, relaxed, DFT PBE-GGA
data_Y2TmNb
_chemical_formula_sum 'Y6 Tm3 Nb3'
_symmetry_space_group_name_H-M 'R -3 m'
_symmetry_Int_Tables_number 166
_symmetry_space_group_name_Hall '-R 3 2"'
_cell_length_a 3.2993
_cell_length_b 3.2993
_cell_length_c 34.6226
_cell_angle_alpha 90.00
_cell_angle_beta 90.00
_cell_angle_gamma 120.00
loop_
_atom_site_label
_atom_site_fract_x
_atom_site_fract_y
_atom_site_fract_z
Y1 0.0000 0.0000 0.0838
Tm1 0.0000 0.0000 0.5000
Nb1 0.0000 0.0000 0.0000
# * V: 27.2 Å³ per atom
# * ΔE_f: 542 meV/atom
# * raw total energy: -6.33 eV/atom